An optimized crystal structure of CrTeRu2. Source: Alexandria via LeMat-Bulk, functional PBE.

```
CrTeRu2
1.0
8.4257 -0.0231 -0.0136
7.9018 2.9247 -0.0136
7.9018 1.4042 2.5655
Ru Cr Te
2 1 1
direct
0.0067 0.0067 0.0067
0.4933 0.4933 0.4933
0.7500 0.7500 0.7500
0.2500 0.2500 0.2500
```

space group: R-3m
total magnetization: 1.178 μB/f.u.
D(E_F): 4.61 states/eV/f.u.
calculated total energy: -29.4 eV for the cell shown